Density functional theory data (PBE) for Co2ReMo after structural relaxation.

DFT formation energy   197.6 meV per atom
VASP energy   -9.175 eV/atom
Volume   13.3 Å³ per atom
Energy above the lowest structure with this stoichiometry   239.4 meV per atom

Cell lengths 4.5523, 4.5523, 4.6350 Å; angles 99.66, 99.66, 34.12 degrees
With the nearest neighbours (Å) after each atom.
Fractional coordinates of all 4 atoms:
1 Co 0.2476 0.2476 0.2398  6 Co 2.60-2.75, 3 Re 2.61-2.63, 3 Mo 2.65-2.67
2 Co 0.7524 0.7524 0.7602  6 Co 2.60-2.75, 3 Re 2.61-2.63, 3 Mo 2.65-2.67
3 Re 0.5000 0.5000 0.0000  6 Co 2.61-2.63, 2 Re 2.67, 4 Mo 2.67
4 Mo 0.0000 0.0000 0.5000  6 Co 2.65-2.67, 2 Mo 2.67, 4 Re 2.67